! ScV2ReH PBE optimized geometry; values from VASP
! M_tot ... 3.2 μB per cell
! DFT total energy ... -0.2458 Ha/atom
&SYSTEM
  ibrav = 0, nat = 5, ntyp = 4
/
ATOMIC_SPECIES
Sc 44.96 Sc.upf
Re 186.21 Re.upf
H 1.01 H.upf
V 50.94 V.upf
CELL_PARAMETERS angstrom
4.629 0.000 0.000
0.000 5.211 0.000
0.000 0.000 4.629
ATOMIC_POSITIONS angstrom
Sc 0.000 2.605 0.000
Re 0.000 0.000 0.000
H 2.314 2.605 2.314
V 0.000 0.000 2.314
V 2.314 0.000 0.000

---

! ReH5Se PBE optimized geometry; values from VASP
! M_tot ... 0.1 μB per cell
! DFT total energy ... -0.1617 Ha/atom
&SYSTEM
  ibrav = 0, nat = 7, ntyp = 3
/
ATOMIC_SPECIES
Re 186.21 Re.upf
H 1.01 H.upf
Se 78.96 Se.upf
CELL_PARAMETERS angstrom
-1.730 0.060 -2.255
3.877 -1.048 -3.003
-2.032 -4.760 3.226
ATOMIC_POSITIONS angstrom
Re -1.460 -3.233 -0.757
H -1.375 -1.363 -1.299
H -1.758 -4.864 -0.571
H -0.867 -1.380 -0.638
H -0.038 -4.118 -0.079
H -1.397 -3.751 0.973
Se 0.615 -3.007 -2.343